Record 1
DFT (GGA-PBE) results for a relaxed V3Pt5 crystal.

Computed properties:
total magnetization = 0.001 μB per formula unit
calculated volume = 14.7 Å³/atom
formation energy from the elements = -503.3 meV per atom

abc: 3.8452 5.5051 11.0863
angles: 90.00 90.00 90.00
Closest atoms and distances in Å follow each position.
Fractional coordinates of all 16 atoms:
Pt1 0.0000 0.5023 0.7452  5 V 2.71-2.82, 7 Pt 2.73-2.83
Pt2 0.0000 0.5000 0.0000  6 Pt 2.72-2.83, 6 V 2.75
Pt3 0.0000 0.0000 0.5000  6 Pt 2.72-2.83, 6 V 2.75
Pt4 0.0000 0.9977 0.2452  5 V 2.71-2.82, 7 Pt 2.73-2.83
Pt5 0.5000 0.2570 0.3818  6 V 2.65-2.90, 6 Pt 2.72-2.83
Pt6 0.0000 0.0023 0.7548  5 V 2.71-2.82, 7 Pt 2.73-2.83
Pt7 0.0000 0.4977 0.2548  5 V 2.71-2.82, 7 Pt 2.73-2.83
Pt8 0.5000 0.7570 0.1182  6 V 2.65-2.90, 6 Pt 2.72-2.83
Pt9 0.5000 0.7430 0.6182  6 V 2.65-2.90, 6 Pt 2.72-2.83
Pt10 0.5000 0.2430 0.8818  6 V 2.65-2.90, 6 Pt 2.72-2.83
V1 0.5000 0.7615 0.8794  10 Pt 2.65-2.90, 2 V 2.68
V2 0.5000 0.7385 0.3794  10 Pt 2.65-2.90, 2 V 2.68
V3 0.0000 0.0000 0.0000  8 Pt 2.68-2.75, 4 V 2.68
V4 0.0000 0.5000 0.5000  8 Pt 2.68-2.75, 4 V 2.68
V5 0.5000 0.2615 0.6206  10 Pt 2.65-2.90, 2 V 2.68
V6 0.5000 0.2385 0.1206  10 Pt 2.65-2.90, 2 V 2.68

***

Record 2
DFT (GGA-PBE) results for a relaxed YMg3N crystal.

Computed properties:
ΔE to the lowest computed polymorph = 0.000 eV per atom
total magnetization = 0.000 μB per formula unit
calculated volume = 19.2 Å³/atom

abc: 4.5826 4.5826 4.5826
angles: 90.00 90.00 90.00
Closest atoms and distances in Å follow each position.
Fractional coordinates of all 5 atoms:
Mg1 0.5000 0.0000 0.0000  2 N 2.29
Mg2 0.0000 0.5000 0.0000  2 N 2.29
Mg3 0.0000 0.0000 0.5000  2 N 2.29
Y1 0.5000 0.5000 0.5000  12 Mg 3.24
N1 0.0000 0.0000 0.0000  6 Mg 2.29

***

Record 3
DFT (GGA-PBE) results for a relaxed Tl2InPb5 crystal.

Computed properties:
ΔE to the lowest computed polymorph = 0.000 eV per atom
total magnetization = 0.000 μB per formula unit
calculated volume = 30.9 Å³/atom
formation energy from the elements = 40.6 meV per atom

abc: 6.8691 6.8691 6.8693
angles: 106.26 106.26 116.11
Closest atoms and distances in Å follow each position.
Fractional coordinates of all 8 atoms:
Pb1 0.7780 0.2778 0.0000  4 Pb 3.43-3.63, 2 In 3.43-3.44, 4 Tl 3.43
Pb2 0.2782 0.7776 0.0000  2 In 3.43-3.44, 4 Pb 3.43-3.63, 4 Tl 3.43
Pb3 0.7776 0.7780 0.4999  2 In 3.43-3.44, 4 Pb 3.43-3.63, 4 Tl 3.43-3.44
Pb4 0.2778 0.2774 0.0000  8 Pb 3.43-3.44, 2 In 3.63-3.64
Pb5 0.2778 0.2782 0.5001  2 In 3.43-3.44, 4 Pb 3.43-3.63, 4 Tl 3.43
In1 0.7781 0.7777 0.0000  10 Pb 3.43-3.64
Tl1 0.2778 0.7782 0.5000  8 Pb 3.43-3.44, 2 Tl 3.63
Tl2 0.7778 0.2782 0.5000  8 Pb 3.43, 2 Tl 3.63

***

Record 4
DFT (GGA-PBE) results for a relaxed Hf4Ti3 crystal.

Computed properties:
total magnetization = 0.000 μB per formula unit
calculated volume = 20.3 Å³/atom
formation energy from the elements = 31.4 meV per atom

abc: 4.8723 8.1980 8.1980
angles: 120.00 90.00 90.00
Closest atoms and distances in Å follow each position.
Fractional coordinates of all 14 atoms:
Hf1 0.7500 0.3677 0.4606  5 Ti 2.96-3.28, 7 Hf 3.06-3.20
Hf2 0.7500 0.6667 0.3333  9 Hf 3.06-3.11, 3 Ti 3.21
Hf3 0.2500 0.6323 0.5394  5 Ti 2.96-3.28, 7 Hf 3.06-3.20
Hf4 0.2500 0.9071 0.3677  5 Ti 2.96-3.28, 7 Hf 3.06-3.20
Hf5 0.2500 0.3333 0.6667  9 Hf 3.06-3.11, 3 Ti 3.21
Hf6 0.7500 0.5394 0.9071  5 Ti 2.96-3.28, 7 Hf 3.06-3.20
Hf7 0.7500 0.0929 0.6323  5 Ti 2.96-3.28, 7 Hf 3.06-3.20
Hf8 0.2500 0.4606 0.0929  5 Ti 2.96-3.28, 7 Hf 3.06-3.20
Ti1 0.2500 0.7776 0.9595  6 Ti 2.91-2.96, 5 Hf 2.96-3.21
Ti2 0.7500 0.9595 0.1820  6 Ti 2.91-2.96, 5 Hf 2.96-3.21
Ti3 0.7500 0.8180 0.7776  6 Ti 2.91-2.96, 5 Hf 2.96-3.21
Ti4 0.2500 0.1820 0.2224  6 Ti 2.91-2.96, 5 Hf 2.96-3.21
Ti5 0.7500 0.2224 0.0405  6 Ti 2.91-2.96, 5 Hf 2.96-3.21
Ti6 0.2500 0.0405 0.8180  6 Ti 2.91-2.96, 5 Hf 2.96-3.21

***

Record 5
DFT (GGA-PBE) results for a relaxed Dy4CdC crystal.

Computed properties:
total magnetization = 0.000 μB per formula unit
calculated volume = 26.6 Å³/atom
formation energy from the elements = -115.7 meV per atom

abc: 6.1474 7.7824 8.1273
angles: 112.07 104.35 105.81
Closest atoms and distances in Å follow each position.
Fractional coordinates of all 12 atoms:
Dy1 0.2933 0.9347 0.5977  1 C 2.39
Dy2 0.7067 0.0653 0.4023  1 C 2.39
Dy3 0.4262 0.7442 0.9007  2 C 2.41-2.60
Dy4 0.0256 0.8436 0.0993  2 C 2.41-2.60
Dy5 0.1956 0.3370 0.4023  1 C 2.39
Dy6 0.9744 0.1564 0.9007  2 C 2.41-2.60
Dy7 0.8044 0.6630 0.5977  1 C 2.39
Dy8 0.5738 0.2558 0.0993  2 C 2.41-2.60
Cd1 0.3635 0.6135 0.2270  8 Dy 3.09-3.33
Cd2 0.6365 0.3865 0.7730  8 Dy 3.09-3.33
C1 0.8219 0.0719 0.1439  6 Dy 2.39-2.60
C2 0.1781 0.9281 0.8561  6 Dy 2.39-2.60

***

Record 6
DFT (GGA-PBE) results for a relaxed TbTmC crystal.

Computed properties:
ΔE to the lowest computed polymorph = 0.000 eV per atom
total magnetization = 0.374 μB per formula unit
calculated volume = 22.5 Å³/atom
formation energy from the elements = -297.4 meV per atom

abc: 3.5759 6.4418 6.1923
angles: 108.72 90.00 90.00
Closest atoms and distances in Å follow each position.
Fractional coordinates of all 6 atoms:
Tb1 0.7500 0.2225 0.4909  3 C 2.48-2.49
Tb2 0.2500 0.7775 0.5091  3 C 2.48-2.49
C1 0.2500 0.9985 0.2459  3 Tm 2.44, 3 Tb 2.48-2.49
C2 0.7500 0.0015 0.7541  3 Tm 2.44, 3 Tb 2.48-2.49
Tm1 0.7500 0.7835 0.0109  3 C 2.44
Tm2 0.2500 0.2165 0.9891  3 C 2.44

***

Record 7
DFT (GGA-PBE) results for a relaxed DyThMgRe crystal.

Computed properties:
total magnetization = 0.000 μB per formula unit
calculated volume = 23.7 Å³/atom
formation energy from the elements = 96.4 meV per atom

abc: 5.1168 5.1168 5.1168
angles: 60.00 60.00 60.00
Closest atoms and distances in Å follow each position.
Fractional coordinates of all 4 atoms:
Re1 0.2500 0.2500 0.2500  4 Dy 3.13, 4 Th 3.13
Th1 0.0000 0.0000 0.0000  4 Re 3.13, 4 Mg 3.13
Mg1 0.7500 0.7500 0.7500  4 Th 3.13, 4 Dy 3.13
Dy1 0.5000 0.5000 0.5000  4 Mg 3.13, 4 Re 3.13

***

Record 8
DFT (GGA-PBE) results for a relaxed TmPaCdPb crystal.

Computed properties:
total magnetization = 1.587 μB per formula unit
calculated volume = 26.8 Å³/atom
formation energy from the elements = 37.3 meV per atom

abc: 5.3326 5.3326 5.3326
angles: 60.00 60.00 60.00
Closest atoms and distances in Å follow each position.
Fractional coordinates of all 4 atoms:
Pb1 0.2500 0.2500 0.2500  4 Pa 3.27, 4 Tm 3.27
Cd1 0.7500 0.7500 0.7500  4 Pa 3.27, 4 Tm 3.27
Tm1 0.0000 0.0000 0.0000  4 Cd 3.27, 4 Pb 3.27
Pa1 0.5000 0.5000 0.5000  4 Cd 3.27, 4 Pb 3.27

***

The highest calculated volume belongs to which entry?
Tl2InPb5

***

What did the second record say?
DFT (GGA-PBE) results for a relaxed YMg3N crystal.

Computed properties:
ΔE to the lowest computed polymorph = 0.000 eV per atom
total magnetization = 0.000 μB per formula unit
calculated volume = 19.2 Å³/atom

abc: 4.5826 4.5826 4.5826
angles: 90.00 90.00 90.00
Closest atoms and distances in Å follow each position.
Fractional coordinates of all 5 atoms:
Mg1 0.5000 0.0000 0.0000  2 N 2.29
Mg2 0.0000 0.5000 0.0000  2 N 2.29
Mg3 0.0000 0.0000 0.5000  2 N 2.29
Y1 0.5000 0.5000 0.5000  12 Mg 3.24
N1 0.0000 0.0000 0.0000  6 Mg 2.29